# 1
# LuBe13

LuBe13 at its PBEsol-relaxed geometry (meta-GGA SCAN, Alexandria).

a b c (Å): 7.115 7.115 7.115
angles (deg): 60.00 60.00 60.00
Positions (direct):
1 Lu 0.250 0.250 0.250
2 Lu 0.750 0.750 0.750
3 Be 0.000 0.000 0.000
4 Be 0.062 0.292 0.708
5 Be 0.062 0.708 0.938
6 Be 0.062 0.938 0.292
7 Be 0.208 0.438 0.792
8 Be 0.208 0.562 0.438
9 Be 0.208 0.792 0.562
10 Be 0.292 0.062 0.938
11 Be 0.292 0.708 0.062
12 Be 0.292 0.938 0.708
13 Be 0.438 0.208 0.562
14 Be 0.438 0.562 0.792
15 Be 0.438 0.792 0.208
16 Be 0.500 0.500 0.500
17 Be 0.562 0.208 0.792
18 Be 0.562 0.438 0.208
19 Be 0.562 0.792 0.438
20 Be 0.708 0.062 0.292
21 Be 0.708 0.292 0.938
22 Be 0.708 0.938 0.062
23 Be 0.792 0.208 0.438
24 Be 0.792 0.438 0.562
25 Be 0.792 0.562 0.208
26 Be 0.938 0.062 0.708
27 Be 0.938 0.292 0.062
28 Be 0.938 0.708 0.292

**Calculated formation energy**: -0.168 eV/atom

# 2
# MgBe3

MgBe3 at its PBEsol-relaxed geometry (meta-GGA SCAN, Alexandria).

a b c (Å): 5.419 5.419 3.635
angles (deg): 90.00 90.00 120.00
Positions (direct):
1 Mg 0.333 0.667 0.250
2 Mg 0.667 0.333 0.750
3 Be 0.133 0.266 0.750
4 Be 0.133 0.867 0.750
5 Be 0.266 0.133 0.250
6 Be 0.734 0.867 0.750
7 Be 0.867 0.133 0.250
8 Be 0.867 0.734 0.250

**Relative energy among the computed polymorphs**: 0.000 eV per atom
**Calculated formation energy**: 0.240 eV/atom

# 3
# Mg2Be

Mg2Be at its PBEsol-relaxed geometry (meta-GGA SCAN, Alexandria).

a b c (Å): 5.189 5.189 5.189
angles (deg): 102.66 102.66 124.17
Positions (direct):
1 Mg 0.162 0.662 0.824
2 Mg 0.338 0.162 0.500
3 Mg 0.662 0.838 0.500
4 Mg 0.838 0.338 0.176
5 Be 0.250 0.250 0.000
6 Be 0.750 0.750 0.000

**Calculated formation energy**: 0.184 eV/atom

# 4
# Mg3Be

Mg3Be at its PBEsol-relaxed geometry (meta-GGA SCAN, Alexandria).

a b c (Å): 4.677 5.892 5.300
angles (deg): 90.00 90.00 90.00
Positions (direct):
1 Mg 0.250 0.001 0.164
2 Mg 0.250 0.250 0.630
3 Mg 0.250 0.499 0.164
4 Mg 0.750 0.501 0.836
5 Mg 0.750 0.750 0.370
6 Mg 0.750 0.999 0.836
7 Be 0.250 0.750 0.699
8 Be 0.750 0.250 0.301

**Calculated formation energy**: 0.243 eV/atom

# 5
# Mg2Be

Mg2Be at its PBEsol-relaxed geometry (meta-GGA SCAN, Alexandria).

a b c (Å): 3.020 3.020 6.770
angles (deg): 90.00 90.00 120.00
Positions (direct):
1 Mg 0.333 0.667 0.302
2 Mg 0.667 0.333 0.698
3 Be 0.000 0.000 0.000

**Calculated formation energy**: 0.371 eV/atom

# 6
# Mg3Be2

Mg3Be2 at its PBEsol-relaxed geometry (meta-GGA SCAN, Alexandria).

a b c (Å): 4.301 4.301 5.254
angles (deg): 90.00 90.00 120.00
Positions (direct):
1 Mg 0.000 0.000 0.000
2 Mg 0.333 0.667 0.356
3 Mg 0.667 0.333 0.644
4 Be 0.333 0.667 0.882
5 Be 0.667 0.333 0.118

**Calculated formation energy**: 0.264 eV/atom

# 7
# Mg3Be

Mg3Be at its PBEsol-relaxed geometry (meta-GGA SCAN, Alexandria).

a b c (Å): 5.172 5.172 5.172
angles (deg): 132.26 132.26 69.82
Positions (direct):
1 Mg 0.000 0.000 0.000
2 Mg 0.250 0.750 0.500
3 Mg 0.750 0.250 0.500
4 Be 0.500 0.500 0.000

**Calculated formation energy**: 0.304 eV/atom

# 8
# Mg4Be3

Mg4Be3 at its PBEsol-relaxed geometry (meta-GGA SCAN, Alexandria).

a b c (Å): 4.788 4.788 5.467
angles (deg): 90.00 90.00 120.00
Positions (direct):
1 Mg 0.000 0.000 0.242
2 Mg 0.000 0.000 0.758
3 Mg 0.333 0.667 0.500
4 Mg 0.667 0.333 0.500
5 Be 0.000 0.500 0.000
6 Be 0.500 0.000 0.000
7 Be 0.500 0.500 0.000

**Calculated formation energy**: 0.223 eV/atom